A plane-wave DFT calculation with meta-GGA SCAN was carried out for Tl2Sb2Pb at its PBEsol-relaxed geometry.

Cell lengths 7.979, 7.979, 4.893 Å; angles 90.00, 90.00, 90.00 degrees
Element x y z (fractional)
Tl1 0.176 0.324 0.000
Tl2 0.324 0.824 0.000
Tl3 0.676 0.176 0.000
Tl4 0.824 0.676 0.000
Sb1 0.126 0.626 0.500
Sb2 0.374 0.126 0.500
Sb3 0.626 0.874 0.500
Sb4 0.874 0.374 0.500
Pb1 0.000 0.000 0.500
Pb2 0.500 0.500 0.500

Space-group type: No. 127
Crystal system: tetragonal
Formation energy without anion corrections: 0.0446 eV/atom